[1]
Compound: Sc2GaBiMo
Source: the Alexandria database
Functional: PBE
Structure: optimized geometry

The structure in POSCAR format:
```
Sc2GaBiMo
1.0
5.022 0.000 0.000
0.000 4.713 0.000
0.000 0.000 5.022
Sc Bi Mo Ga
2 1 1 1
Cartesian
2.511 0.000 0.000
0.000 0.000 2.511
2.511 2.356 2.511
0.000 2.356 0.000
0.000 0.000 0.000
```

Calculated values
* E_form: 278 meV/atom
* total DFT energy (no corrections): -5.803 eV/atom
* SG: No. 123

[2]
Compound: TaGaBi2Mo
Source: the Alexandria database
Functional: PBE
Structure: optimized geometry

The structure in POSCAR format:
```
TaGaBi2Mo
1.0
5.357 0.000 0.000
0.000 5.357 0.000
0.000 0.000 4.862
Bi Ta Mo Ga
2 1 1 1
Cartesian
0.000 2.679 0.000
2.679 0.000 0.000
2.679 2.679 2.431
0.000 0.000 0.000
0.000 0.000 2.431
```

Calculated values
* E_form: 1331 meV/atom
* total DFT energy (no corrections): -5.363 eV/atom
* SG: No. 123

[3]
Compound: GaBiTe2Mo
Source: the Alexandria database
Functional: PBE
Structure: optimized geometry

The structure in POSCAR format:
```
GaBiTe2Mo
1.0
-5.100 1.173 -1.087
-1.321 -1.557 4.517
0.728 4.937 1.915
Ga Te Mo Bi
1 2 1 1
Cartesian
-0.660 -0.779 2.259
0.364 2.468 0.957
-2.550 0.587 -0.543
0.000 0.000 0.000
-2.847 2.276 2.673
```

Calculated values
* total DFT energy (no corrections): -4.384 eV/atom
* SG: No. 123
* uncorrected formation energy: 203 kJ/mol of formula units

[4]
Compound: GaBiN3
Source: the Alexandria database
Functional: PBE
Structure: optimized geometry

The structure in POSCAR format:
```
GaBiN3
1.0
3.974 0.000 0.000
0.000 3.974 0.000
0.000 0.000 3.974
Ga N Bi
1 3 1
Cartesian
0.000 0.000 0.000
0.000 1.987 0.000
0.000 0.000 1.987
1.987 0.000 0.000
1.987 1.987 1.987
```

Calculated values
* total DFT energy (no corrections): -5.075 eV/atom
* SG: No. 221
* uncorrected formation energy: 628 kJ/mol of formula units

[5]
Compound: GaBiN2
Source: the Alexandria database
Functional: PBE
Structure: optimized geometry

The structure in POSCAR format:
```
GaBiN2
1.0
1.895 0.000 6.364
-0.947 1.641 6.364
-0.947 -1.641 6.364
Bi N Ga
1 2 1
Cartesian
0.000 0.000 0.000
0.000 0.000 16.873
0.000 0.000 2.220
0.000 0.000 9.547
```

Calculated values
* total DFT energy (no corrections): -5.208 eV/atom
* SG: No. 166
* offset from the most stable computed form: 504 meV per atom
* uncorrected formation energy: 263 kJ/mol of formula units

[6]
Compound: GaBi2N
Source: the Alexandria database
Functional: PBE
Structure: optimized geometry

The structure in POSCAR format:
```
GaBi2N
1.0
-1.619 0.137 4.637
-4.826 -0.093 0.921
-2.042 -3.993 2.008
N Bi Ga
1 2 1
Cartesian
0.000 0.000 0.000
-2.122 -0.987 1.891
-6.365 -2.962 5.674
-4.243 -1.974 3.783
```

Calculated values
* total DFT energy (no corrections): -3.778 eV/atom
* SG: No. 225
* offset from the most stable computed form: 408 meV per atom
* uncorrected formation energy: 386 kJ/mol of formula units